Record 1
Sc2RuCl, optimized geometry, DFT GGA-PBEsol; space-group type = C2/m; relative energy among the computed polymorphs = 0.0500 eV per atom; energy relative to the elements, uncorrected = -0.9348 eV/atom; DOS(E_F) = 1.77 states/eV/cell
1.0
3.1810 -0.0099 0.0422
-0.3689 3.1596 -0.0422
-1.2510 -1.7133 7.5233
Sc Cl Ru
2 1 1
Direct
0.0883 0.1186 0.2069
0.9117 0.8814 0.7931
0.5000 0.0000 0.5000
0.5000 0.5000 0.0000

=====

Record 2
K2TiB2, optimized geometry, DFT GGA-PBEsol; E = -3.8379 eV/atom; space-group type = I4/mmm; DOS(E_F) = 3.97 states/eV/cell
1.0
3.6305 0.0000 0.0000
0.0000 3.6305 0.0000
-1.8153 -1.8153 6.4509
B K Ti
2 2 1
Direct
0.4387 0.4387 0.8774
0.5613 0.5613 0.1226
0.2500 0.7500 0.5000
0.7500 0.2500 0.5000
0.0000 0.0000 0.0000

=====

Record 3
InCoAs2, optimized geometry, DFT GGA-PBEsol; E = -5.2987 eV/atom; space-group type = Cmmm; DOS(E_F) = 2.65 states/eV/cell
1.0
-1.9574 3.1504 -0.3677
-3.8413 -2.1970 1.6249
2.7659 2.0916 3.1955
In As Co
1 2 1
Direct
0.5000 0.5000 0.0000
0.0000 0.8291 0.6717
0.0000 0.1709 0.3283
0.5000 0.0000 0.5000

=====

Record 4
Ta2FeNi, optimized geometry, DFT GGA-PBEsol; E = -10.1805 eV/atom; space-group type = I4/mmm; DOS(E_F) = 2.96 states/eV/cell
1.0
-0.1285 0.3593 -3.9491
3.9053 -1.3541 1.7427
-2.8885 -2.7155 -0.1531
Ta Ni Fe
2 1 1
Direct
0.2500 0.5000 0.7500
0.7500 0.5000 0.2500
0.5000 0.0000 0.5000
0.0000 0.0000 0.0000

=====

Record 5
Ba4Sr3, optimized geometry, DFT GGA-PBEsol; space-group type = P6/mmm; relative energy among the computed polymorphs = 0.0539 eV per atom; DOS(E_F) = 8.54 states/eV/cell
1.0
-5.2208 1.8752 5.4234
3.1508 -7.0890 -0.0645
5.7464 2.5116 4.6633
Sr Ba
3 4
Direct
0.0000 0.5000 0.0000
0.5000 0.5000 0.0000
0.5000 0.0000 0.0000
0.0000 0.0000 0.2550
0.6667 0.3333 0.5000
0.0000 0.0000 0.7450
0.3333 0.6667 0.5000

=====

Record 6
YTiNbO6, optimized geometry, DFT GGA-PBEsol; space-group type = P2_1/c; energy relative to the elements, uncorrected = -3.0967 eV/atom; DOS(E_F) = 0.00 states/eV/cell
1.0
5.1689 0.0015 0.0000
-0.0627 5.5384 0.0000
0.0000 0.0000 14.6701
O Nb Y Ti
24 4 4 4
Direct
0.9197 0.4146 0.4156
0.8551 0.8697 0.7427
0.5372 0.0551 0.4089
0.0803 0.5854 0.5844
0.6423 0.8622 0.2610
0.4184 0.0838 0.0862
0.0803 0.0854 0.9156
0.9610 0.0660 0.5912
0.3577 0.1378 0.7390
0.1449 0.1303 0.2573
0.5816 0.9162 0.9138
0.4184 0.5838 0.4138
0.0390 0.9340 0.4088
0.9197 0.9146 0.0844
0.4628 0.4449 0.9089
0.1449 0.6303 0.2427
0.6423 0.3622 0.2390
0.5816 0.4162 0.5862
0.0390 0.4340 0.0912
0.9610 0.5660 0.9088
0.4628 0.9449 0.5911
0.5372 0.5551 0.0911
0.8551 0.3697 0.7573
0.3577 0.6378 0.7610
0.1763 0.8163 0.6692
0.8237 0.1837 0.3308
0.8237 0.6837 0.1692
0.1763 0.3163 0.8308
0.7444 0.2376 0.0002
0.7444 0.7376 0.4998
0.2556 0.7624 0.9998
0.2556 0.2624 0.5002
0.6832 0.6903 0.8366
0.6832 0.1903 0.6634
0.3168 0.3097 0.1634
0.3168 0.8097 0.3366

=====

Question: DOS(E_F) of number 6 (YTiNbO6)?
Answer: 0.00 states/eV/cell

=====

Question: What is the formula in the first record?
Answer: Sc2RuCl

=====

Question: Which formula does entry 6 have?
Answer: YTiNbO6